DFT (PBE-GGA) results for a relaxed structure of Ba2Nb.

Properties
**Electronic total energy**: -8.4 eV per formula unit
**Volume**: 579.5 Å³/cell

Structure (extended XYZ):
```
6
Lattice="6.508 -6.619 1.187 8.208 2.161 3.942 2.018 -3.089 8.600" Properties=species:S:1:pos:R:3 pbc="T T T"
Ba 9.529 -6.140 5.742
Ba 7.284 -4.375 9.449
Ba 10.379 -1.750 7.120
Ba 6.275 -2.830 5.148
Nb 8.367 -3.774 6.865
Nb 4.183 -1.887 3.432
```

***

DFT (PBE-GGA) results for a relaxed structure of Mg6ZnHg.

Properties
**Electronic total energy**: -11.6 eV per formula unit
**Volume**: 165.1 Å³/cell

Structure (extended XYZ):
```
8
Lattice="6.215 0.000 0.000 -3.107 5.382 0.000 0.000 0.000 4.937" Properties=species:S:1:pos:R:3 pbc="T T T"
Zn 3.107 1.794 2.468
Mg 1.594 2.668 0.000
Mg 1.564 4.491 2.468
Mg 0.000 1.782 2.468
Mg 4.621 2.668 0.000
Mg 3.107 0.047 0.000
Mg -1.564 4.491 2.468
Hg 0.000 0.000 0.000
```

***

DFT (PBE-GGA) results for a relaxed structure of KHoCdS3.

Properties
**Electronic total energy**: -27.3 eV per formula unit
**Volume**: 313.5 Å³/cell

Structure (extended XYZ):
```
12
Lattice="-7.191 -1.301 1.580 7.190 -0.971 1.808 -0.298 8.871 5.948" Properties=species:S:1:pos:R:3 pbc="T T T"
S -5.559 3.598 4.866
S -5.679 7.189 7.273
S 5.260 3.001 4.470
S 5.380 -0.589 2.063
S 0.911 1.105 3.196
S -1.210 5.495 6.139
K -3.763 0.997 3.123
K 3.464 5.602 6.213
Ho -0.001 -1.136 1.694
Ho -0.149 3.300 4.668
Cd 6.538 1.234 3.285
Cd -6.837 5.366 6.050
```

***

DFT (PBE-GGA) results for a relaxed structure of LiCuNiSb.

Properties
**Electronic total energy**: -16.2 eV per formula unit
**Volume**: 55.7 Å³/cell

Structure (extended XYZ):
```
4
Lattice="4.047 -1.234 0.683 2.097 1.361 3.481 0.898 -2.741 3.169" Properties=species:S:1:pos:R:3 pbc="T T T"
Sb 1.761 -0.654 1.833
Ni 3.521 -1.307 3.667
Li 5.282 -1.961 5.500
Cu 0.000 0.000 0.000
```

***

DFT (PBE-GGA) results for a relaxed structure of YErHg4.

Properties
**ΔE_f**: -8.8 kcal/mol of atoms
**Volume**: 142.6 Å³/cell

Structure (extended XYZ):
```
6
Lattice="3.396 0.000 0.000 0.000 4.925 0.000 -0.004 0.000 8.530" Properties=species:S:1:pos:R:3 pbc="T T T"
Hg 1.714 2.462 7.111
Hg 1.716 0.000 2.841
Hg 1.678 2.462 1.418
Hg 1.676 0.000 5.689
Y -0.002 2.462 4.265
Er 0.000 0.000 0.000
```

***

DFT (PBE-GGA) results for a relaxed structure of AcB4Pd.

Properties
**Electronic total energy**: -35.0 eV per formula unit
**Volume**: 76.8 Å³/cell

Structure (extended XYZ):
```
6
Lattice="-4.314 -3.167 1.064 -4.528 3.024 0.364 4.040 -1.703 -3.249" Properties=species:S:1:pos:R:3 pbc="T T T"
Ac 0.000 0.000 0.000
B -2.358 1.480 -0.709
B -2.444 -3.326 -1.110
B -2.348 -1.617 -0.344
B -2.454 -0.229 -1.476
Pd -4.421 -0.072 0.714
```